The following is a DFT calculation (PBEsol) of a relaxed structure of Be3OsAu.

Its formation enthalpy at 0 K is 1.170 eV per atom.

The structure belongs to space group Pm-3m (No. 221); the cell edges are 4.1245, 4.1245 and 4.1245 Å and the angles 90.00°, 90.00° and 90.00°. Symmetry generates all atoms from Be at (0.0000, 0.0000, 0.5000), Os at (0.5000, 0.5000, 0.5000) and Au at (0.0000, 0.0000, 0.0000).

---

The following is a DFT calculation (PBEsol) of a relaxed structure of BeOsAu4.

Its formation enthalpy at 0 K is 0.969 eV per atom.

The structure belongs to space group F-43m (No. 216); the cell edges are 7.4295, 7.4295 and 7.4295 Å and the angles 90.00°, 90.00° and 90.00°. Symmetry generates all atoms from Be at (0.0000, 0.0000, 0.0000), Os at (0.2500, 0.2500, 0.7500) and Au at (0.1250, 0.1250, 0.3750).

---

The following is a DFT calculation (PBEsol) of a relaxed structure of Be2OsAu.

Its formation enthalpy at 0 K is -0.174 eV per atom.

The structure belongs to space group P4/mmm (No. 123); the cell edges are 2.8785, 2.8785 and 5.6129 Å and the angles 90.00°, 90.00° and 90.00°. Symmetry generates all atoms from Be at (0.0000, 0.0000, 0.2123), Os at (0.5000, 0.5000, 0.0000) and Au at (0.5000, 0.5000, 0.5000).

---

The following is a DFT calculation (PBEsol) of a relaxed structure of BeSn2OsAu.

Its formation enthalpy at 0 K is 0.727 eV per atom.

The structure belongs to space group P4/mmm (No. 123); the cell edges are 4.6962, 4.6962 and 4.1134 Å and the angles 90.00°, 90.00° and 90.00°. Symmetry generates all atoms from Be at (0.0000, 0.0000, 0.0000), Sn at (0.0000, 0.5000, 0.0000), Os at (0.0000, 0.0000, 0.5000) and Au at (0.5000, 0.5000, 0.5000).

---

The following is a DFT calculation (PBEsol) of a relaxed structure of BeP2Au.

Its formation enthalpy at 0 K is 0.069 eV per atom.

The structure belongs to space group Cm (No. 8); the cell edges are 7.2766, 3.6475 and 5.3538 Å and the angles 90.00°, 109.46° and 90.00°. Symmetry generates all atoms from Be at (0.0000, 0.0000, 0.0000), P at (0.4648, 0.0000, 0.7942), P at (0.4810, 0.0000, 0.4006) and Au at (0.2595, 0.5000, 0.2049).

---

The following is a DFT calculation (PBEsol) of a relaxed structure of BePAu2.

Its formation enthalpy at 0 K is 0.167 eV per atom.

The structure belongs to space group R-3m (No. 166, hexagonal axes); the cell edges are 2.8750, 2.8750 and 24.4595 Å and the angles 90.00°, 90.00° and 120.00°. Symmetry generates all atoms from Be at (0.0000, 0.0000, 0.0000), P at (0.0000, 0.0000, 0.5000) and Au at (0.0000, 0.0000, 0.2602).

---

The following is a DFT calculation (PBEsol) of a relaxed structure of BeP2Au.

Its formation enthalpy at 0 K is 0.429 eV per atom.

The structure belongs to space group Imm2 (No. 44); the cell edges are 3.1196, 4.8928 and 7.5791 Å and the angles 90.00°, 90.00° and 90.00°. Symmetry generates all atoms from Be at (0.0000, 0.0000, 0.0000), P at (0.0000, 0.0000, 0.4423), P at (0.0000, 0.5000, 0.7220) and Au at (0.0000, 0.5000, 0.2555).

---

The following is a DFT calculation (PBEsol) of a relaxed structure of BePAu3.

Its formation enthalpy at 0 K is 0.504 eV per atom.

The structure belongs to space group Pm-3m (No. 221); the cell edges are 4.3573, 4.3573 and 4.3573 Å and the angles 90.00°, 90.00° and 90.00°. Symmetry generates all atoms from Be at (0.0000, 0.0000, 0.0000), P at (0.5000, 0.5000, 0.5000) and Au at (0.0000, 0.0000, 0.5000).

---

The following is a DFT calculation (PBEsol) of a relaxed structure of BeP2Au.

Its formation enthalpy at 0 K is 0.149 eV per atom.

The structure belongs to space group Pm (No. 6); the cell edges are 3.8193, 3.1038 and 5.4399 Å and the angles 90.00°, 93.16° and 90.00°. Symmetry generates all atoms from Be at (0.0000, 0.0000, 0.0000), P at (0.2969, 0.0000, 0.6784), P at (0.5603, 0.5000, 0.9354) and Au at (0.2513, 0.5000, 0.3105).

---

The following is a DFT calculation (PBEsol) of a relaxed structure of BePb2Au.

Its formation enthalpy at 0 K is 0.226 eV per atom.

The structure belongs to space group Imm2 (No. 44); the cell edges are 3.2245, 5.2744 and 10.1988 Å and the angles 90.00°, 90.00° and 90.00°. Symmetry generates all atoms from Be at (0.0000, 0.0000, 0.0000), Pb at (0.0000, 0.0000, 0.5454), Pb at (0.0000, 0.5000, 0.7441) and Au at (0.0000, 0.5000, 0.3434).

---

The following is a DFT calculation (PBEsol) of a relaxed structure of BePb2Au.

Its formation enthalpy at 0 K is 0.407 eV per atom.

The structure belongs to space group P4/mmm (No. 123); the cell edges are 3.4735, 3.4735 and 7.0850 Å and the angles 90.00°, 90.00° and 90.00°. Symmetry generates all atoms from Be at (0.0000, 0.0000, 0.0000), Pb at (0.5000, 0.5000, 0.2397) and Au at (0.0000, 0.0000, 0.5000).

---

The following is a DFT calculation (PBEsol) of a relaxed structure of BePb2Au.

Its formation enthalpy at 0 K is 0.416 eV per atom.

The structure belongs to space group Cmmm (No. 65); the cell edges are 6.6382, 7.5060 and 3.4691 Å and the angles 90.00°, 90.00° and 90.00°. Symmetry generates all atoms from Be at (0.0000, 0.0000, 0.0000), Pb at (0.2500, 0.2500, 0.5000) and Au at (0.0000, 0.5000, 0.0000).

---

Number 1: N(E_F) 3.2 states/eV/cell, total DFT energy (no corrections) -22.3 eV/cell, density 9803 kg/m3. Number 2: N(E_F) 25.3 states/eV/cell, total DFT energy (no corrections) -104.4 eV/cell, density 15988 kg/m3. Number 3: N(E_F) 1.5 states/eV/cell, total DFT energy (no corrections) -24.8 eV/cell, density 14469 kg/m3. Number 4: N(E_F) 3.3 states/eV/cell, total DFT energy (no corrections) -25.0 eV/cell, density 11598 kg/m3. Number 5: N(E_F) 2.3 states/eV/cell, total DFT energy (no corrections) -38.5 eV/cell, density 6641 kg/m3. Number 6: N(E_F) 3.6 states/eV/cell, total DFT energy (no corrections) -50.9 eV/cell, density 12346 kg/m3. Number 7: N(E_F) 2.9 states/eV/cell, total DFT energy (no corrections) -35.6 eV/cell, density 7692 kg/m3. Number 8: N(E_F) 1.6 states/eV/cell, total DFT energy (no corrections) -19.0 eV/cell, density 12664 kg/m3. Number 9: N(E_F) 1.2 states/eV/cell, total DFT energy (no corrections) -18.9 eV/cell, density 6910 kg/m3. Number 10: N(E_F) 3.5 states/eV/cell, total DFT energy (no corrections) -30.0 eV/cell, density 11878 kg/m3. Number 11: N(E_F) 1.7 states/eV/cell, total DFT energy (no corrections) -14.3 eV/cell, density 12051 kg/m3. Number 12: N(E_F) 3.2 states/eV/cell, total DFT energy (no corrections) -28.5 eV/cell, density 11920 kg/m3.